1.
The following is a DFT calculation (PBE) of a relaxed CdRu2Pb crystal.

Structure (CIF):
```
data_CdRu2Pb
_chemical_formula_sum 'Cd1 Ru2 Pb1'
_cell_length_a 5.167
_cell_length_b 5.167
_cell_length_c 5.167
_cell_angle_alpha 133.36
_cell_angle_beta 133.36
_cell_angle_gamma 68.09
_space_group_name_H-M_alt 'P 1'
_space_group_IT_number 1
_space_group_name_Hall 'P 1'
loop_
_atom_site_label
_atom_site_type_symbol
_atom_site_fract_x
_atom_site_fract_y
_atom_site_fract_z
_atom_site_occupancy
Cd1 Cd 0.000 0.000 0.000 1
Ru1 Ru 0.500 0.500 0.000 1
Ru2 Ru 0.750 0.250 0.500 1
Pb1 Pb 0.250 0.750 0.500 1
```

The energy above the most stable polymorph in this dataset is 341 meV/atom. Its space group is I-4m2.

=====

2.
The following is a DFT calculation (PBE) of a relaxed CdRu2Pb crystal.

Structure (CIF):
```
data_CdRu2Pb
_chemical_formula_sum 'Cd1 Ru2 Pb1'
_cell_length_a 4.806
_cell_length_b 4.806
_cell_length_c 5.425
_cell_angle_alpha 104.08
_cell_angle_beta 104.08
_cell_angle_gamma 37.59
_space_group_name_H-M_alt 'P 1'
_space_group_IT_number 1
_space_group_name_Hall 'P 1'
loop_
_atom_site_label
_atom_site_type_symbol
_atom_site_fract_x
_atom_site_fract_y
_atom_site_fract_z
_atom_site_occupancy
Cd1 Cd 0.000 0.000 0.000 1
Ru1 Ru 0.243 0.243 0.786 1
Ru2 Ru 0.757 0.757 0.214 1
Pb1 Pb 0.500 0.500 0.500 1
```

The energy above the most stable polymorph in this dataset is 250 meV/atom. Its space group is C2/m.

=====

3.
The following is a DFT calculation (PBE) of a relaxed CdRu2Pb crystal.

Structure (CIF):
```
data_CdRu2Pb
_chemical_formula_sum 'Cd1 Ru2 Pb1'
_cell_length_a 3.070
_cell_length_b 4.204
_cell_length_c 5.936
_cell_angle_alpha 90.00
_cell_angle_beta 104.80
_cell_angle_gamma 90.00
_space_group_name_H-M_alt 'P 1'
_space_group_IT_number 1
_space_group_name_Hall 'P 1'
loop_
_atom_site_label
_atom_site_type_symbol
_atom_site_fract_x
_atom_site_fract_y
_atom_site_fract_z
_atom_site_occupancy
Cd1 Cd 0.000 0.000 0.000 1
Ru1 Ru 0.397 0.500 0.774 1
Ru2 Ru 0.603 0.500 0.226 1
Pb1 Pb 0.000 0.000 0.500 1
```

The energy above the most stable polymorph in this dataset is 282 meV/atom. Its space group is P2/m.

=====

4.
The following is a DFT calculation (PBE) of a relaxed Cd2RuPb crystal.

Structure (CIF):
```
data_Cd2RuPb
_chemical_formula_sum 'Cd2 Ru1 Pb1'
_cell_length_a 3.381
_cell_length_b 3.381
_cell_length_c 7.459
_cell_angle_alpha 90.00
_cell_angle_beta 90.00
_cell_angle_gamma 90.00
_space_group_name_H-M_alt 'P 1'
_space_group_IT_number 1
_space_group_name_Hall 'P 1'
loop_
_atom_site_label
_atom_site_type_symbol
_atom_site_fract_x
_atom_site_fract_y
_atom_site_fract_z
_atom_site_occupancy
Cd1 Cd 0.000 0.000 0.000 1
Cd2 Cd 0.500 0.500 0.257 1
Ru1 Ru 0.500 0.500 0.790 1
Pb1 Pb 0.000 0.000 0.577 1
```

Its space group is P4mm.

=====

Number 1: energy of formation 626 meV/atom, N(E_F) 6.03 states/eV per cell. Number 2: energy of formation 535 meV/atom, N(E_F) 3.05 states/eV per cell. Number 3: energy of formation 567 meV/atom, N(E_F) 4.67 states/eV per cell. Number 4: energy of formation 279 meV/atom, N(E_F) 1.25 states/eV per cell.